(1)
This record from Alexandria describes a relaxed Cr4NiMo crystal. The functional is GGA-PBE.

Output
Raw total energy ... -9.03 eV per atom
ρ ... 8.06 g/cm3
D(E_F) ... 8.5 states/eV per cell

Lattice parameters (Å, degrees): 4.7265 4.7265 4.7265 60.00 60.00 60.00
Fractional positions:
Cr: 0.3753 0.8740 0.3753
Ni: 0.0000 0.0000 0.0000
Mo: 0.7500 0.7500 0.7500
Cr: 0.3753 0.3753 0.3753
Cr: 0.8740 0.3753 0.3753
Cr: 0.3753 0.3753 0.8740

---

(2)
This record from Alexandria describes a relaxed CrNiMo2 crystal. The functional is GGA-PBE.

Output
Raw total energy ... -8.92 eV per atom
ρ ... 8.99 g/cm3
D(E_F) ... 4.7 states/eV per cell

Lattice parameters (Å, degrees): 9.1870 9.1870 9.1870 16.71 16.71 16.71
Fractional positions:
Ni: 0.4962 0.4962 0.4962
Mo: 0.2441 0.2441 0.2441
Mo: 0.0036 0.0036 0.0036
Cr: 0.7561 0.7561 0.7561

---

(3)
This record from Alexandria describes a relaxed CrNi2Mo crystal. The functional is GGA-PBE.

Output
Raw total energy ... -7.77 eV per atom
ρ ... 8.50 g/cm3
D(E_F) ... 5.1 states/eV per cell

Lattice parameters (Å, degrees): 4.3988 4.3988 2.6779 90.00 90.00 90.00
Last column: magnetic moment on the atom in μB.
Fractional positions:
Mo: 0.0000 0.5000 0.5000  -0.09
Ni: 0.5000 0.5000 0.0000  0.26
Ni: 0.0000 0.0000 0.0000  0.26
Cr: 0.5000 0.0000 0.5000  2.70

---

(4)
This record from Alexandria describes a relaxed CrNiMo2 crystal. The functional is GGA-PBE.

Output
Raw total energy ... -9.09 eV per atom
ρ ... 9.20 g/cm3
D(E_F) ... 4.6 states/eV per cell

Lattice parameters (Å, degrees): 4.6153 4.6153 2.7012 90.00 90.00 108.43
Fractional positions:
Ni: 0.5000 0.0000 0.5000
Mo: 0.0000 0.0000 0.0000
Mo: 0.5000 0.5000 0.0000
Cr: 0.0000 0.5000 0.5000

---

(5)
This record from Alexandria describes a relaxed Cr2Ni2Mo crystal. The functional is GGA-PBE.

Output
Raw total energy ... -8.14 eV per atom
ρ ... 8.57 g/cm3
D(E_F) ... 5.3 states/eV per cell

Lattice parameters (Å, degrees): 6.9918 6.9918 2.5149 90.00 90.00 90.00
Fractional positions:
Cr: 0.6159 0.1159 0.0000
Mo: 0.5000 0.5000 0.0000
Ni: 0.1783 0.6783 0.5000
Cr: 0.8841 0.6159 0.0000
Cr: 0.3841 0.8841 0.0000
Ni: 0.6783 0.8217 0.5000
Ni: 0.8217 0.3217 0.5000
Cr: 0.1159 0.3841 0.0000
Mo: 0.0000 0.0000 0.0000
Ni: 0.3217 0.1783 0.5000

---

no.,formation energy (meV per atom)
1,152
2,347
3,233
4,174
5,186